A relaxed Cu3P crystal. Source: the Alexandria database, functional PBE-GGA.

## Properties
As for the total energy: -4.189 eV per atom. The space group is No. 221. As for the energy relative to the elements: 0.236 eV per atom. The spin magnetization is 0.00 μB per cell.

a = 4.3807 Å, b = 4.3807 Å, c = 4.3807 Å
α = 90.00°, β = 90.00°, γ = 90.00°
Fractional positions:
Cu: 0.0000 0.0000 0.5000
Cu: 0.0000 0.5000 0.0000
Cu: 0.5000 0.0000 0.0000
P: 0.0000 0.0000 0.0000


A relaxed K2NaUF8 crystal. Source: the Alexandria database, functional PBE-GGA.

## Properties
As for the total energy: -5.700 eV per atom. The space group is No. 119. The spin magnetization is 1.00 μB per cell.

a = 7.0418 Å, b = 7.0418 Å, c = 7.0418 Å
α = 130.18°, β = 130.18°, γ = 73.12°
Fractional positions:
K: 0.0000 0.0000 0.0000
K: 0.7500 0.2500 0.5000
Na: 0.5000 0.5000 0.0000
U: 0.2500 0.7500 0.5000
F: 0.1533 0.0838 0.5102
F: 0.1533 0.6431 0.0696
F: 0.3569 0.4265 0.5102
F: 0.3569 0.8467 0.9304
F: 0.5735 0.0838 0.9304
F: 0.5735 0.6431 0.4898
F: 0.9162 0.4265 0.0696
F: 0.9162 0.8467 0.4898


A relaxed RbHoMgF6 crystal. Source: the Alexandria database, functional PBE-GGA.

## Properties
As for the total energy: -5.647 eV per atom. The space group is No. 74. The spin magnetization is 0.00 μB per cell.

a = 7.4154 Å, b = 7.4154 Å, c = 7.4154 Å
α = 120.84°, β = 117.26°, γ = 91.67°
Fractional positions:
Rb: 0.3396 0.0896 0.2500
Rb: 0.6604 0.9104 0.7500
Ho: 0.0000 0.5000 0.5000
Ho: 0.5000 0.5000 0.0000
Mg: 0.0000 0.0000 0.5000
Mg: 0.0000 0.5000 0.0000
F: 0.0550 0.3610 0.1864
F: 0.0550 0.8686 0.6940
F: 0.0580 0.3080 0.7500
F: 0.3254 0.1314 0.6864
F: 0.3254 0.6390 0.1940
F: 0.3512 0.6012 0.7500
F: 0.6488 0.3988 0.2500
F: 0.6746 0.3610 0.8060
F: 0.6746 0.8686 0.3136
F: 0.9420 0.6920 0.2500
F: 0.9450 0.1314 0.3060
F: 0.9450 0.6390 0.8136


A relaxed ZrHgSe2 crystal. Source: the Alexandria database, functional PBE-GGA.

## Properties
As for the total energy: -4.056 eV per atom. The space group is No. 216. The spin magnetization is 0.00 μB per cell.

a = 4.9646 Å, b = 4.9646 Å, c = 4.9646 Å
α = 60.00°, β = 60.00°, γ = 60.00°
Fractional positions:
Zr: 0.0000 0.0000 0.0000
Hg: 0.2500 0.2500 0.2500
Se: 0.5000 0.5000 0.5000
Se: 0.7500 0.7500 0.7500


A relaxed Ce2UGe2Ru5 crystal. Source: the Alexandria database, functional PBE-GGA.

## Properties
As for the total energy: -8.298 eV per atom. The space group is No. 127. As for the energy relative to the elements: -0.421 eV per atom. The spin magnetization is 2.51 μB per cell.

a = 9.9923 Å, b = 9.9923 Å, c = 3.6111 Å
α = 90.00°, β = 90.00°, γ = 90.00°
Fractional positions:
Ce: 0.1686 0.3314 0.0000
Ce: 0.3314 0.8314 0.0000
Ce: 0.6686 0.1686 0.0000
Ce: 0.8314 0.6686 0.0000
U: 0.0000 0.0000 0.0000
U: 0.5000 0.5000 0.0000
Ge: 0.1278 0.6278 0.0000
Ge: 0.3722 0.1278 0.0000
Ge: 0.6278 0.8722 0.0000
Ge: 0.8722 0.3722 0.0000
Ru: 0.0000 0.5000 0.5000
Ru: 0.0672 0.7967 0.5000
Ru: 0.2033 0.0672 0.5000
Ru: 0.2967 0.5672 0.5000
Ru: 0.4328 0.2967 0.5000
Ru: 0.5000 0.0000 0.5000
Ru: 0.5672 0.7033 0.5000
Ru: 0.7033 0.4328 0.5000
Ru: 0.7967 0.9328 0.5000
Ru: 0.9328 0.2033 0.5000


A relaxed NaErSi2Au5 crystal. Source: the Alexandria database, functional PBE-GGA.

## Properties
As for the total energy: -3.995 eV per atom. The space group is No. 123. The spin magnetization is 0.00 μB per cell.

a = 4.7157 Å, b = 4.7157 Å, c = 9.6445 Å
α = 90.00°, β = 90.00°, γ = 90.00°
Fractional positions:
Na: 0.0000 0.0000 0.0000
Er: 0.0000 0.0000 0.5000
Si: 0.5000 0.5000 0.2484
Si: 0.5000 0.5000 0.7516
Au: 0.0000 0.5000 0.3173
Au: 0.0000 0.5000 0.6827
Au: 0.5000 0.0000 0.3173
Au: 0.5000 0.0000 0.6827
Au: 0.5000 0.5000 0.0000


A relaxed KSr2W crystal. Source: the Alexandria database, functional PBE-GGA.

## Properties
As for the total energy: -3.048 eV per atom. The space group is No. 160. As for the energy relative to the elements: 1.306 eV per atom. The spin magnetization is 0.00 μB per cell.

a = 13.2332 Å, b = 13.2332 Å, c = 13.2332 Å
α = 15.25°, β = 15.25°, γ = 15.25°
Fractional positions:
K: 0.0000 0.0000 0.0000
Sr: 0.5291 0.5291 0.5291
Sr: 0.7684 0.7684 0.7684
W: 0.2594 0.2594 0.2594


A relaxed AcCd2In4 crystal. Source: the Alexandria database, functional PBE-GGA.

## Properties
As for the total energy: -2.521 eV per atom. The space group is No. 12. As for the energy relative to the elements: -0.108 eV per atom. The spin magnetization is 0.00 μB per cell.

a = 6.9093 Å, b = 6.9093 Å, c = 6.3135 Å
α = 116.56°, β = 116.56°, γ = 51.34°
Fractional positions:
Ac: 0.0000 0.0000 0.0000
Cd: 0.3010 0.3010 0.0026
Cd: 0.6990 0.6990 0.9974
In: 0.0000 0.5000 0.5000
In: 0.2507 0.7493 0.5000
In: 0.5000 0.0000 0.5000
In: 0.7493 0.2507 0.5000